No. 1
Tm6Si3H: optimized geometry, PBE-GGA.

The structure in extended XYZ format:
```
20
Lattice="5.4340 -6.7881 0.0000 5.4340 6.7881 0.0000 0.0000 0.0000 6.5598" Properties=species:S:1:pos:R:3 pbc="T T T"
Tm 5.4340 6.1256 3.2799
Tm 3.6394 3.1280 3.5110
Tm 5.4340 3.6820 0.2595
Tm 3.6302 0.4002 0.2871
Tm 3.6302 -0.4002 3.5670
Tm 7.2286 3.1280 3.5110
Tm 3.6394 -3.1280 0.2311
Tm 7.2379 0.4002 0.2871
Tm 7.2379 -0.4002 3.5670
Tm 5.4340 -3.6820 3.5394
Tm 7.2286 -3.1280 0.2311
Tm 5.4340 -6.1256 0.0000
Si 1.8189 1.4801 2.1057
Si 1.8189 -1.4801 5.3856
Si 5.4340 1.4849 4.9483
Si 5.4340 -1.4849 1.6684
Si 9.0492 1.4801 2.1057
Si 9.0492 -1.4801 5.3856
H 5.4340 4.0285 2.5468
H 5.4340 -4.0285 5.8267
```

Output
total DFT energy (no corrections): -5.088 eV per atom


No. 2
Rb2VCI6: optimized geometry, PBE-GGA.

The structure in extended XYZ format:
```
10
Lattice="-3.8426 3.8426 6.3626 3.8426 -3.8426 6.3626 3.8426 3.8426 -6.3626" Properties=species:S:1:pos:R:3 pbc="T T T"
Rb 3.8426 0.0000 3.1813
Rb 0.0000 3.8426 3.1813
V 0.0000 0.0000 0.0000
C 0.0000 0.0000 6.3626
I 0.0000 0.0000 2.7722
I 2.0021 2.0021 0.0000
I 1.8405 -1.8405 6.3626
I -1.8405 1.8405 6.3626
I 1.8405 1.8405 6.3626
I 0.0000 0.0000 9.9529
```

Output
raw formation energy: -0.1548 eV per atom